Record 1
{"formula": "Pm2B2ClO6", "functional": "PBE", "state": "optimized geometry", "cell": [[-4.428, 3.282, 1.833], [-3.955, -2.962, 2.698], [4.419, 2.837, 3.622]], "species": ["Pm", "Pm", "B", "B", "Cl", "O", "O", "O", "O", "O", "O"], "fractional_positions": [[0.793, 0.331, 0.776], [0.207, 0.669, 0.224], [0.156, 0.708, 0.782], [0.844, 0.292, 0.218], [0.500, 0.000, 0.500], [0.385, 0.666, 0.875], [0.010, 0.351, 0.128], [0.087, 0.826, 0.627], [0.990, 0.649, 0.872], [0.913, 0.174, 0.373], [0.615, 0.334, 0.125]], "space_group": "P-1", "e_form_raw_mev_per_atom": -2675, "volume_a3_per_cell": 171.0, "magnetic_moment_mub_per_atom": 0.090, "dft_energy_ev_per_atom": -7.6256}

=====

Record 2
{"formula": "PrB2ClO4", "functional": "PBE", "state": "optimized geometry", "cell": [[4.256, 0.010, -0.003], [-2.007, 6.290, 0.007], [0.131, -1.126, 8.120]], "species": ["Pr", "Pr", "B", "B", "B", "B", "Cl", "Cl", "O", "O", "O", "O", "O", "O", "O", "O"], "fractional_positions": [[0.800, 0.037, 0.779], [0.200, 0.963, 0.221], [0.170, 0.654, 0.851], [0.569, 0.441, 0.804], [0.431, 0.559, 0.196], [0.830, 0.346, 0.149], [0.149, 0.803, 0.545], [0.851, 0.197, 0.455], [0.626, 0.761, 0.210], [0.093, 0.533, 0.180], [0.839, 0.152, 0.078], [0.374, 0.239, 0.790], [0.907, 0.467, 0.820], [0.161, 0.848, 0.922], [0.483, 0.631, 0.816], [0.517, 0.369, 0.184]], "space_group": "P-1", "e_form_raw_mev_per_atom": -2667, "volume_a3_per_cell": 217.5, "magnetic_moment_mub_per_atom": 0.000, "dft_energy_ev_per_atom": -7.6438}

=====

Record 3
{"formula": "PuB4ClO8", "functional": "PBE", "state": "optimized geometry", "cell": [[5.656, 3.300, 0.065], [-5.656, 3.300, 0.065], [0.000, 2.670, 9.084]], "species": ["Pu", "Pu", "B", "B", "B", "B", "B", "B", "B", "B", "Cl", "Cl", "O", "O", "O", "O", "O", "O", "O", "O", "O", "O", "O", "O", "O", "O", "O", "O"], "fractional_positions": [[0.230, 0.629, 0.404], [0.629, 0.230, 0.904], [0.891, 0.958, 0.310], [0.958, 0.891, 0.810], [0.338, 0.149, 0.245], [0.149, 0.338, 0.745], [0.753, 0.243, 0.229], [0.243, 0.753, 0.729], [0.634, 0.527, 0.291], [0.527, 0.634, 0.791], [0.756, 0.385, 0.575], [0.385, 0.756, 0.075], [0.492, 0.064, 0.291], [0.064, 0.492, 0.791], [0.091, 0.943, 0.314], [0.943, 0.091, 0.814], [0.669, 0.742, 0.327], [0.742, 0.669, 0.827], [0.387, 0.206, 0.079], [0.206, 0.387, 0.579], [0.906, 0.175, 0.291], [0.175, 0.906, 0.791], [0.796, 0.268, 0.066], [0.268, 0.796, 0.566], [0.815, 0.484, 0.253], [0.484, 0.815, 0.753], [0.397, 0.374, 0.293], [0.374, 0.397, 0.793]], "space_group": "Cc", "e_form_raw_mev_per_atom": -2285, "volume_a3_per_cell": 337.2, "magnetic_moment_mub_per_atom": 0.214, "dft_energy_ev_per_atom": -8.1815}

=====

Record 4
{"formula": "BRhClO2", "functional": "PBE", "state": "optimized geometry", "cell": [[3.694, 0.000, 0.000], [0.000, 7.936, 0.000], [0.000, 0.000, 3.694]], "species": ["B", "Rh", "O", "O", "Cl"], "fractional_positions": [[0.500, 0.500, 0.500], [0.000, 0.000, 0.000], [0.000, 0.000, 0.500], [0.500, 0.000, 0.000], [0.000, 0.500, 0.000]], "space_group": "P4/mmm", "e_form_raw_mev_per_atom": 508, "volume_a3_per_cell": 108.3, "magnetic_moment_mub_per_atom": 0.000, "dft_energy_ev_per_atom": -4.6504}

=====

Record 5
{"formula": "BS2ClO", "functional": "PBE", "state": "optimized geometry", "cell": [[4.180, 0.000, 0.000], [0.000, 4.180, 0.000], [0.000, 0.000, 4.062]], "species": ["S", "S", "B", "O", "Cl"], "fractional_positions": [[0.000, 0.500, 0.000], [0.500, 0.000, 0.000], [0.000, 0.000, 0.000], [0.500, 0.500, 0.500], [0.000, 0.000, 0.500]], "space_group": "P4/mmm", "e_above_lowest_polymorph_ev_per_atom": 0.0000, "e_form_raw_mev_per_atom": 1228, "volume_a3_per_cell": 71.0, "magnetic_moment_mub_per_atom": 0.000, "dft_energy_ev_per_atom": -3.1190}

=====

Record 6
{"formula": "BS2ClO", "functional": "PBE", "state": "optimized geometry", "cell": [[-3.697, 0.178, 0.988], [0.459, -3.052, 2.269], [1.592, 4.119, 5.216]], "species": ["S", "S", "B", "O", "Cl"], "fractional_positions": [[0.000, 0.500, 0.000], [0.500, 0.000, 0.000], [0.500, 0.500, 0.500], [0.000, 0.000, 0.000], [0.000, 0.000, 0.500]], "space_group": "P4/mmm", "e_above_lowest_polymorph_ev_per_atom": 0.0355, "e_form_raw_mev_per_atom": 1264, "volume_a3_per_cell": 100.3, "magnetic_moment_mub_per_atom": 0.181, "dft_energy_ev_per_atom": -3.0836}

=====

Record 7
{"formula": "BSbCl2O", "functional": "PBE", "state": "optimized geometry", "cell": [[4.496, 0.000, 0.000], [0.000, 4.241, 0.000], [0.000, 0.000, 4.496]], "species": ["Sb", "B", "O", "Cl", "Cl"], "fractional_positions": [[0.500, 0.500, 0.500], [0.000, 0.500, 0.000], [0.000, 0.000, 0.000], [0.000, 0.000, 0.500], [0.500, 0.000, 0.000]], "space_group": "P4/mmm", "e_form_raw_mev_per_atom": 1094, "volume_a3_per_cell": 85.7, "magnetic_moment_mub_per_atom": 0.000, "dft_energy_ev_per_atom": -2.7965}

=====

Record 8
{"formula": "SrBClO2", "functional": "PBE", "state": "optimized geometry", "cell": [[-3.547, 0.408, 2.903], [0.689, -5.136, 1.563], [3.788, 4.573, 3.987]], "species": ["Sr", "Sr", "B", "B", "Cl", "Cl", "O", "O", "O", "O"], "fractional_positions": [[0.250, 0.622, 0.244], [0.750, 0.378, 0.756], [0.250, 0.998, 0.996], [0.750, 0.002, 0.004], [0.750, 0.763, 0.526], [0.250, 0.237, 0.474], [0.500, 0.194, 0.000], [0.000, 0.806, 0.000], [0.500, 0.806, 0.000], [0.000, 0.194, 0.000]], "space_group": "Cmcm", "e_form_raw_mev_per_atom": -2177, "volume_a3_per_cell": 164.9, "magnetic_moment_mub_per_atom": 0.000, "dft_energy_ev_per_atom": -6.2011}

=====

Record 9
{"formula": "Sr2B5ClO9", "functional": "PBE", "state": "optimized geometry", "cell": [[-6.288, 1.788, 0.568], [-0.078, -3.723, 10.852], [3.306, 10.474, 3.617]], "species": ["Sr", "Sr", "Sr", "Sr", "Sr", "Sr", "Sr", "Sr", "B", "B", "B", "B", "B", "B", "B", "B", "B", "B", "B", "B", "B", "B", "B", "B", "B", "B", "B", "B", "Cl", "Cl", "Cl", "Cl", "O", "O", "O", "O", "O", "O", "O", "O", "O", "O", "O", "O", "O", "O", "O", "O", "O", "O", "O", "O", "O", "O", "O", "O", "O", "O", "O", "O", "O", "O", "O", "O", "O", "O", "O", "O"], "fractional_positions": [[0.842, 0.742, 0.473], [0.007, 0.958, 0.748], [0.507, 0.458, 0.752], [0.507, 0.542, 0.248], [0.342, 0.758, 0.973], [0.007, 0.042, 0.252], [0.342, 0.242, 0.027], [0.842, 0.258, 0.527], [0.473, 0.991, 0.254], [0.473, 0.009, 0.746], [0.808, 0.739, 0.034], [0.029, 0.713, 0.204], [0.808, 0.261, 0.966], [0.308, 0.761, 0.534], [0.308, 0.239, 0.466], [0.847, 0.290, 0.189], [0.847, 0.710, 0.811], [0.973, 0.491, 0.246], [0.200, 0.320, 0.273], [0.973, 0.509, 0.754], [0.029, 0.287, 0.796], [0.700, 0.180, 0.773], [0.347, 0.210, 0.689], [0.347, 0.790, 0.311], [0.700, 0.820, 0.227], [0.529, 0.787, 0.704], [0.529, 0.213, 0.296], [0.200, 0.680, 0.727], [0.410, 0.500, 0.000], [0.657, 0.500, 0.500], [0.157, 0.000, 0.000], [0.910, 0.000, 0.500], [0.748, 0.260, 0.079], [0.154, 0.269, 0.389], [0.568, 0.238, 0.686], [0.568, 0.762, 0.314], [0.319, 0.917, 0.288], [0.154, 0.731, 0.611], [0.248, 0.240, 0.579], [0.917, 0.811, 0.256], [0.926, 0.607, 0.255], [0.819, 0.583, 0.788], [0.749, 0.781, 0.720], [0.417, 0.689, 0.756], [0.417, 0.311, 0.244], [0.999, 0.712, 0.074], [0.819, 0.417, 0.212], [0.161, 0.551, 0.724], [0.499, 0.788, 0.574], [0.426, 0.107, 0.245], [0.249, 0.281, 0.780], [0.926, 0.393, 0.745], [0.749, 0.219, 0.280], [0.248, 0.760, 0.421], [0.068, 0.738, 0.814], [0.748, 0.740, 0.921], [0.654, 0.769, 0.111], [0.161, 0.449, 0.276], [0.999, 0.288, 0.926], [0.068, 0.262, 0.186], [0.499, 0.212, 0.426], [0.426, 0.893, 0.755], [0.654, 0.231, 0.889], [0.661, 0.051, 0.776], [0.917, 0.189, 0.744], [0.319, 0.083, 0.712], [0.249, 0.719, 0.220], [0.661, 0.949, 0.224]], "space_group": "Pnn2", "e_form_raw_mev_per_atom": -2667, "volume_a3_per_cell": 870.6, "magnetic_moment_mub_per_atom": 0.000, "dft_energy_ev_per_atom": -7.5625}

=====

Record 10
{"formula": "Tb4BClO7", "functional": "PBE", "state": "optimized geometry", "cell": [[-0.999, 6.666, 4.490], [-5.733, -4.234, 5.009], [6.305, -4.378, 7.902]], "species": ["Tb", "Tb", "Tb", "Tb", "Tb", "Tb", "Tb", "Tb", "Tb", "Tb", "Tb", "Tb", "Tb", "Tb", "Tb", "Tb", "B", "B", "B", "B", "Cl", "Cl", "Cl", "Cl", "O", "O", "O", "O", "O", "O", "O", "O", "O", "O", "O", "O", "O", "O", "O", "O", "O", "O", "O", "O", "O", "O", "O", "O", "O", "O", "O", "O"], "fractional_positions": [[0.375, 0.018, 0.780], [0.125, 0.518, 0.280], [0.625, 0.982, 0.220], [0.875, 0.482, 0.720], [0.383, 0.334, 0.091], [0.117, 0.834, 0.591], [0.617, 0.666, 0.909], [0.883, 0.166, 0.409], [0.362, 0.151, 0.419], [0.138, 0.651, 0.919], [0.638, 0.849, 0.581], [0.862, 0.349, 0.081], [0.385, 0.461, 0.721], [0.115, 0.961, 0.221], [0.615, 0.539, 0.279], [0.885, 0.039, 0.779], [0.131, 0.282, 0.587], [0.369, 0.782, 0.087], [0.869, 0.718, 0.413], [0.631, 0.218, 0.913], [0.148, 0.151, 0.971], [0.352, 0.651, 0.471], [0.852, 0.849, 0.029], [0.648, 0.349, 0.529], [0.377, 0.945, 0.597], [0.123, 0.445, 0.097], [0.623, 0.055, 0.403], [0.877, 0.555, 0.903], [0.364, 0.085, 0.226], [0.136, 0.585, 0.726], [0.636, 0.915, 0.774], [0.864, 0.415, 0.274], [0.383, 0.398, 0.282], [0.117, 0.898, 0.782], [0.617, 0.602, 0.718], [0.883, 0.102, 0.218], [0.378, 0.520, 0.907], [0.122, 0.020, 0.407], [0.622, 0.480, 0.093], [0.878, 0.980, 0.593], [0.112, 0.316, 0.458], [0.388, 0.816, 0.958], [0.888, 0.684, 0.542], [0.612, 0.184, 0.042], [0.995, 0.271, 0.664], [0.505, 0.771, 0.164], [0.005, 0.729, 0.336], [0.495, 0.229, 0.836], [0.287, 0.251, 0.636], [0.213, 0.751, 0.136], [0.713, 0.749, 0.364], [0.787, 0.249, 0.864]], "space_group": "P2_1/c", "e_form_raw_mev_per_atom": -3301, "volume_a3_per_cell": 756.6, "magnetic_moment_mub_per_atom": 0.000, "dft_energy_ev_per_atom": -8.0510}

=====

Record 11
{"formula": "TiB2ClO", "functional": "PBE", "state": "optimized geometry", "cell": [[4.641, 0.000, 0.000], [0.000, 3.713, 0.000], [0.000, 0.000, 4.641]], "species": ["B", "B", "Cl", "O", "Ti"], "fractional_positions": [[0.000, 0.000, 0.500], [0.500, 0.000, 0.000], [0.500, 0.500, 0.500], [0.000, 0.500, 0.000], [0.000, 0.000, 0.000]], "space_group": "P4/mmm", "e_form_raw_mev_per_atom": 501, "volume_a3_per_cell": 80.0, "magnetic_moment_mub_per_atom": 0.000, "dft_energy_ev_per_atom": -5.1095}

=====

Record 12
{"formula": "ZnBClO2", "functional": "PBE", "state": "optimized geometry", "cell": [[3.771, 0.000, 0.000], [0.000, 5.599, 1.183], [0.000, -0.608, 9.126]], "species": ["Zn", "Zn", "B", "B", "Cl", "Cl", "O", "O", "O", "O"], "fractional_positions": [[0.250, 0.810, 0.760], [0.750, 0.190, 0.240], [0.250, 0.340, 0.641], [0.750, 0.660, 0.359], [0.250, 0.231, 0.093], [0.750, 0.769, 0.907], [0.750, 0.880, 0.356], [0.250, 0.120, 0.644], [0.750, 0.437, 0.366], [0.250, 0.563, 0.634]], "space_group": "P2_1/m", "e_form_raw_mev_per_atom": -1641, "volume_a3_per_cell": 195.4, "magnetic_moment_mub_per_atom": 0.000, "dft_energy_ev_per_atom": -5.5838}

=====

Record 13
{"formula": "BOs2Cl", "functional": "PBE", "state": "optimized geometry", "cell": [[0.000, 2.900, 2.900], [2.900, 0.000, 2.900], [2.900, 2.900, 0.000]], "species": ["B", "Os", "Os", "Cl"], "fractional_positions": [[0.000, 0.000, 0.000], [0.250, 0.250, 0.250], [0.750, 0.750, 0.750], [0.500, 0.500, 0.500]], "space_group": "Fm-3m", "e_above_lowest_polymorph_ev_per_atom": 0.2663, "e_form_raw_mev_per_atom": 1309, "volume_a3_per_cell": 48.8, "magnetic_moment_mub_per_atom": 0.000, "dft_energy_ev_per_atom": -6.4364}

=====

Record 14
{"formula": "B2OsCl", "functional": "PBE", "state": "optimized geometry", "cell": [[-1.192, 2.127, -4.507], [-2.687, -4.177, -1.260], [-5.928, 0.942, -0.900]], "species": ["B", "B", "B", "B", "Os", "Os", "Cl", "Cl"], "fractional_positions": [[0.693, 0.125, 0.250], [0.057, 0.625, 0.250], [0.375, 0.307, 0.750], [0.875, 0.943, 0.750], [0.000, 0.000, 0.000], [0.750, 0.250, 0.500], [0.500, 0.500, 0.000], [0.250, 0.750, 0.500]], "space_group": "I-42d", "e_above_lowest_polymorph_ev_per_atom": 0.0000, "e_form_raw_mev_per_atom": 802, "volume_a3_per_cell": 127.8, "magnetic_moment_mub_per_atom": 0.000, "dft_energy_ev_per_atom": -5.8057}

=====

Record 15
{"formula": "BOs2Cl2", "functional": "PBE", "state": "optimized geometry", "cell": [[-5.378, 1.087, -1.467], [1.311, -0.879, -5.456], [-1.070, -4.630, 0.489]], "species": ["B", "B", "Os", "Os", "Os", "Os", "Cl", "Cl", "Cl", "Cl"], "fractional_positions": [[0.000, 0.000, 0.000], [0.500, 0.500, 0.000], [0.340, 0.840, 0.000], [0.840, 0.660, 0.000], [0.660, 0.160, 0.000], [0.160, 0.340, 0.000], [0.324, 0.824, 0.500], [0.824, 0.676, 0.500], [0.676, 0.176, 0.500], [0.176, 0.324, 0.500]], "space_group": "P4/mbm", "e_above_lowest_polymorph_ev_per_atom": 0.0000, "e_form_raw_mev_per_atom": 481, "volume_a3_per_cell": 154.1, "magnetic_moment_mub_per_atom": 0.000, "dft_energy_ev_per_atom": -6.0853}

=====

Record 16
{"formula": "BOs2Cl2", "functional": "PBE", "state": "optimized geometry", "cell": [[-0.251, 2.278, 3.120], [2.375, -2.375, 1.926], [5.471, 2.902, 0.724]], "species": ["B", "Os", "Os", "Cl", "Cl"], "fractional_positions": [[0.000, 0.000, 0.000], [0.399, 0.399, 0.202], [0.601, 0.601, 0.798], [0.750, 0.250, 0.500], [0.250, 0.750, 0.500]], "space_group": "I4/mmm", "e_above_lowest_polymorph_ev_per_atom": 1.3138, "e_form_raw_mev_per_atom": 1795, "volume_a3_per_cell": 84.0, "magnetic_moment_mub_per_atom": 0.000, "dft_energy_ev_per_atom": -4.7715}

=====

Record 17
{"formula": "BOs3Cl", "functional": "PBE", "state": "optimized geometry", "cell": [[4.173, 0.000, 0.000], [0.000, 4.173, 0.000], [0.000, 0.000, 4.173]], "species": ["B", "Os", "Os", "Os", "Cl"], "fractional_positions": [[0.000, 0.000, 0.000], [0.000, 0.500, 0.000], [0.000, 0.000, 0.500], [0.500, 0.000, 0.000], [0.500, 0.500, 0.500]], "space_group": "Pm-3m", "e_above_lowest_polymorph_ev_per_atom": 0.0000, "e_form_raw_mev_per_atom": 1349, "volume_a3_per_cell": 72.7, "magnetic_moment_mub_per_atom": 0.497, "dft_energy_ev_per_atom": -7.0937}

=====

Record 18
{"formula": "BOsCl3", "functional": "PBE", "state": "optimized geometry", "cell": [[4.795, 0.000, 0.000], [0.000, 4.795, 0.000], [0.000, 0.000, 4.795]], "species": ["B", "Os", "Cl", "Cl", "Cl"], "fractional_positions": [[0.500, 0.500, 0.500], [0.000, 0.000, 0.000], [0.000, 0.500, 0.000], [0.000, 0.000, 0.500], [0.500, 0.000, 0.000]], "space_group": "Pm-3m", "e_form_raw_mev_per_atom": 1129, "volume_a3_per_cell": 110.2, "magnetic_moment_mub_per_atom": 0.246, "dft_energy_ev_per_atom": -3.5603}

=====

Record 19
{"formula": "B2OsCl", "functional": "PBE", "state": "optimized geometry", "cell": [[0.000, 2.812, 2.812], [2.812, 0.000, 2.812], [2.812, 2.812, 0.000]], "species": ["B", "B", "Os", "Cl"], "fractional_positions": [[0.250, 0.250, 0.250], [0.750, 0.750, 0.750], [0.500, 0.500, 0.500], [0.000, 0.000, 0.000]], "space_group": "Fm-3m", "e_above_lowest_polymorph_ev_per_atom": 1.2625, "e_form_raw_mev_per_atom": 2065, "volume_a3_per_cell": 44.5, "magnetic_moment_mub_per_atom": 0.000, "dft_energy_ev_per_atom": -4.5432}